No. 1
Computed, not measured: crystalline NaMn2Nb at its relaxed geometry at the PBE-GGA level of DFT.

The calculation puts the calculated volume at 274.67 Å³ per cell. For the energy above the most stable polymorph in this dataset, the calculation gives 0.642 eV/atom.

The structure belongs to space group I-42d (No. 122); the cell edges are 3.934, 3.934 and 17.747 Å and the angles 90.00°, 90.00° and 90.00°. The distinct sites, in fractional coordinates, are Na at (0.000, 0.000, 0.000), Mn at (0.138, 0.250, 0.625) and Nb at (0.000, 0.000, 0.500).


No. 2
Computed, not measured: crystalline LiYBeRh2 at its relaxed geometry at the PBE-GGA level of DFT.

The electronic total energy comes out at -29.3 eV per cell. The calculation puts the calculated volume at 77.37 Å³ per cell.

The structure belongs to space group P4/mmm (No. 123); the cell edges are 4.317, 4.317 and 4.153 Å and the angles 90.00°, 90.00° and 90.00°. The distinct sites, in fractional coordinates, are Li at (0.000, 0.000, 0.000), Y at (0.500, 0.500, 0.000), Be at (0.000, 0.000, 0.500) and Rh at (0.000, 0.500, 0.500).